VASP calculation (PBEsol) on crystalline Tl2TcSb at its relaxed geometry.

The structure in POSCAR format:
```
Tl2TcSb
1.0
2.895 -5.449 0.000
2.895 5.449 0.000
-1.939 0.000 2.798
Tl Tc Sb
2 1 1
Cartesian
1.447 2.725 0.000 Tl
1.447 -2.725 0.000 Tl
-0.969 0.000 1.399 Tc
1.926 0.000 1.399 Sb
```

Output
- Total magnetization: 0.317 μB/atom
- Distance to the lowest polymorph of the same formula: 1.57 eV per formula unit
- SG: C2/m

VASP calculation (PBEsol) on crystalline TlTcSb4 at its relaxed geometry.

The structure in POSCAR format:
```
TlTcSb4
1.0
0.000 4.319 4.319
4.319 0.000 4.319
4.319 4.319 0.000
Tl Tc Sb
1 1 4
Cartesian
0.000 0.000 0.000 Tl
2.160 2.160 2.160 Tc
5.394 3.245 3.245 Sb
3.245 5.394 3.245 Sb
3.245 3.245 5.394 Sb
5.394 5.394 5.394 Sb
```

Output
- Raw total energy: -4.492 eV/atom
- Total magnetization: 0.587 μB/atom
- SG: F-43m

VASP calculation (PBEsol) on crystalline TlTcSb3 at its relaxed geometry.

The structure in POSCAR format:
```
TlTcSb3
1.0
5.152 0.000 0.000
0.000 5.152 0.000
0.000 0.000 5.152
Tl Tc Sb
1 1 3
Cartesian
0.000 0.000 0.000 Tl
2.576 2.576 2.576 Tc
0.000 2.576 2.576 Sb
2.576 0.000 2.576 Sb
2.576 2.576 0.000 Sb
```

Output
- Raw total energy: -5.119 eV/atom
- Total magnetization: 0.000 μB/atom
- SG: Pm-3m

VASP calculation (PBEsol) on crystalline Tl2TcSb at its relaxed geometry.

The structure in POSCAR format:
```
Tl2TcSb
1.0
4.662 -1.581 0.000
4.662 1.581 0.000
-2.562 0.000 6.609
Tl Tc Sb
2 1 1
Cartesian
0.000 0.000 0.000 Tl
-0.155 0.000 4.766 Tl
4.985 0.000 2.389 Tc
2.377 0.000 2.392 Sb
```

Output
- Total magnetization: 0.056 μB/atom
- Distance to the lowest polymorph of the same formula: 0.00 eV per formula unit
- SG: Cm

Which formula does entry 2 have? TlTcSb4